Compound: NdCrGeO5
Source: Alexandria
Functional: PBE+U
Structure: relaxed

Output
- VASP energy (eV per atom) = -7.29
- calculated density (g cm⁻³) = 5.0
- size of the total moment (μB per formula unit) = 2.99

a = 5.5179 Å, b = 5.5179 Å, c = 8.3386 Å
α = 101.77°, β = 101.77°, γ = 105.41°
Closest atoms and distances in Å follow each position.
Fractional coordinates of all 16 atoms:
Nd 0.0000 0.0000 0.0000  6 O 2.37-2.40
Nd 0.0000 0.0000 0.5000  6 O 2.37-2.40
Cr 0.3445 0.6555 0.7500  1 O 1.84
Cr 0.6555 0.3445 0.2500  1 O 1.84
Ge 0.3235 0.6765 0.2500  4 O 1.78-1.79
Ge 0.6765 0.3235 0.7500  4 O 1.78-1.79
O 0.0134 0.6393 0.2933  1 Ge 1.79
O 0.1347 0.8653 0.7500  1 Cr 1.84
O 0.3373 0.4093 0.0959  1 Ge 1.78
O 0.3607 0.9866 0.2067  1 Ge 1.79
O 0.4093 0.3373 0.5959  1 Ge 1.78
O 0.5907 0.6627 0.4041  1 Ge 1.78
O 0.6393 0.0134 0.7933  1 Ge 1.79
O 0.6627 0.5907 0.9041  1 Ge 1.78
O 0.8653 0.1347 0.2500  1 Cr 1.84
O 0.9866 0.3607 0.7067  1 Ge 1.79